[1]
BaMgAgAs2 | the Open Quantum Materials Database | PBE | relaxed; raw total energy = -3.698 eV/atom
1.0
2.182 -9.186 0.000
2.182 9.186 0.000
0.000 0.000 6.495
Ba Mg Ag As
2 2 2 4
direct
0.188 0.812 0.500
0.812 0.188 0.000
0.401 0.599 0.563
0.599 0.401 0.063
0.025 0.975 0.805
0.975 0.025 0.305
0.174 0.826 0.997
0.458 0.542 0.006
0.542 0.458 0.506
0.826 0.174 0.497

[2]
ZnFeNiAg | the Open Quantum Materials Database | PBE | relaxed; raw total energy = -4.345 eV/atom; ΔE_f = 0.15 eV/atom; size of the total moment = 2.96 μB per formula unit
1.0
6.009 0.000 0.000
0.000 6.009 0.000
0.000 0.000 6.009
Zn Fe Ni Ag
4 4 4 4
direct
0.000 0.000 0.000
0.000 0.500 0.500
0.500 0.000 0.500
0.500 0.500 0.000
0.250 0.250 0.250
0.250 0.750 0.750
0.750 0.250 0.750
0.750 0.750 0.250
0.000 0.000 0.500
0.000 0.500 0.000
0.500 0.000 0.000
0.500 0.500 0.500
0.250 0.250 0.750
0.250 0.750 0.250
0.750 0.250 0.250
0.750 0.750 0.750

[3]
Y2Ni2Ir | the Open Quantum Materials Database | PBE | relaxed; raw total energy = -6.702 eV/atom; ΔE_f = -0.12 eV/atom; size of the total moment = 0.00 μB per formula unit
1.0
3.614 0.000 0.000
0.000 3.614 0.000
0.000 0.000 13.519
Y Ni Ir
4 4 2
direct
0.000 0.000 0.108
0.000 0.000 0.892
0.500 0.500 0.392
0.500 0.500 0.608
0.000 0.500 0.250
0.000 0.500 0.750
0.500 0.000 0.250
0.500 0.000 0.750
0.000 0.000 0.500
0.500 0.500 0.000

[4]
PaBeIr | the Open Quantum Materials Database | PBE | relaxed; raw total energy = -6.889 eV/atom; size of the total moment = 0.00 μB per formula unit
1.0
6.360 0.000 0.000
0.000 6.360 0.000
0.000 0.000 6.360
Pa Be Ir
4 4 4
direct
0.000 0.000 0.000
0.000 0.500 0.500
0.500 0.000 0.500
0.500 0.500 0.000
0.250 0.250 0.750
0.250 0.750 0.250
0.750 0.250 0.250
0.750 0.750 0.750
0.250 0.250 0.250
0.250 0.750 0.750
0.750 0.250 0.750
0.750 0.750 0.250

[5]
InAsPdO | the Open Quantum Materials Database | PBE | relaxed; raw total energy = -4.956 eV/atom
1.0
3.994 0.000 0.000
0.000 3.994 0.000
0.000 0.000 8.791
In As Pd O
2 2 2 2
direct
0.250 0.250 0.113
0.750 0.750 0.887
0.250 0.250 0.675
0.750 0.750 0.325
0.250 0.750 0.500
0.750 0.250 0.500
0.250 0.750 0.000
0.750 0.250 0.000

[6]
YHoTlTe3 | the Open Quantum Materials Database | PBE | relaxed; raw total energy = -4.776 eV/atom; size of the total moment = 0.38 μB per formula unit
1.0
2.198 -7.657 0.000
2.198 7.657 0.000
0.000 0.000 12.009
Y Ho Tl Te
2 2 2 6
direct
0.070 0.930 0.750
0.930 0.070 0.250
0.500 0.500 0.000
0.500 0.500 0.500
0.245 0.755 0.250
0.755 0.245 0.750
0.143 0.857 0.524
0.143 0.857 0.976
0.438 0.562 0.750
0.562 0.438 0.250
0.857 0.143 0.024
0.857 0.143 0.476

[7]
Zn2Sn | the Open Quantum Materials Database | PBE | relaxed; raw total energy = -2.044 eV/atom
1.0
3.215 0.000 0.000
0.000 15.899 0.000
0.000 0.000 4.640
Zn Sn
8 4
direct
0.000 0.131 0.250
0.000 0.234 0.750
0.000 0.766 0.250
0.000 0.869 0.750
0.500 0.266 0.250
0.500 0.369 0.750
0.500 0.631 0.250
0.500 0.734 0.750
0.000 0.432 0.250
0.000 0.568 0.750
0.500 0.068 0.750
0.500 0.932 0.250

[8]
YTl2Zn | the Open Quantum Materials Database | PBE | relaxed; raw total energy = -3.163 eV/atom; size of the total moment = 0.01 μB per formula unit
1.0
7.410 0.000 0.000
0.000 7.410 0.000
0.000 0.000 7.410
Y Tl Zn
4 8 4
direct
0.000 0.000 0.000
0.000 0.500 0.500
0.500 0.000 0.500
0.500 0.500 0.000
0.000 0.000 0.500
0.000 0.500 0.000
0.250 0.250 0.750
0.250 0.750 0.250
0.500 0.000 0.000
0.500 0.500 0.500
0.750 0.250 0.250
0.750 0.750 0.750
0.250 0.250 0.250
0.250 0.750 0.750
0.750 0.250 0.750
0.750 0.750 0.250

[9]
K2WSeS2 | the Open Quantum Materials Database | PBE | relaxed; raw total energy = -5.340 eV/atom; size of the total moment = 0.01 μB per formula unit
1.0
6.771 0.000 0.000
2.822 6.808 0.000
2.682 1.288 7.916
K W Se S
4 2 2 4
direct
0.107 0.189 0.125
0.360 0.554 0.295
0.640 0.446 0.705
0.893 0.811 0.875
0.371 0.050 0.663
0.629 0.950 0.337
0.159 0.385 0.716
0.841 0.615 0.284
0.274 0.955 0.470
0.365 0.830 0.905
0.635 0.170 0.095
0.726 0.045 0.530

[10]
Dy3Ta3W2N12 | the Open Quantum Materials Database | PBE | relaxed; raw total energy = -9.757 eV/atom; size of the total moment = 0.00 μB per formula unit
1.0
-6.395 6.395 6.395
6.395 -6.395 6.395
6.395 6.395 -6.395
Dy Ta W N
12 12 8 48
direct
0.125 0.250 0.375
0.125 0.375 0.750
0.250 0.375 0.125
0.250 0.875 0.625
0.375 0.125 0.250
0.375 0.750 0.125
0.625 0.250 0.875
0.625 0.875 0.750
0.750 0.125 0.375
0.750 0.625 0.875
0.875 0.625 0.250
0.875 0.750 0.625
0.125 0.750 0.875
0.125 0.875 0.250
0.250 0.125 0.875
0.250 0.625 0.375
0.375 0.250 0.625
0.375 0.625 0.750
0.625 0.375 0.250
0.625 0.750 0.375
0.750 0.375 0.625
0.750 0.875 0.125
0.875 0.125 0.750
0.875 0.250 0.125
0.000 0.000 0.000
0.000 0.000 0.500
0.000 0.500 0.000
0.000 0.500 0.500
0.500 0.000 0.000
0.500 0.000 0.500
0.500 0.500 0.000
0.500 0.500 0.500
0.024 0.200 0.117
0.024 0.324 0.907
0.083 0.700 0.676
0.083 0.883 0.407
0.093 0.617 0.417
0.093 0.976 0.676
0.117 0.024 0.200
0.117 0.593 0.917
0.176 0.200 0.583
0.176 0.476 0.593
0.200 0.117 0.024
0.200 0.583 0.176
0.300 0.324 0.917
0.300 0.476 0.383
0.324 0.907 0.024
0.324 0.917 0.300
0.383 0.300 0.476
0.383 0.583 0.907
0.407 0.083 0.883
0.407 0.824 0.524
0.417 0.093 0.617
0.417 0.824 0.800
0.476 0.383 0.300
0.476 0.593 0.176
0.524 0.407 0.824
0.524 0.617 0.700
0.583 0.176 0.200
0.583 0.907 0.383
0.593 0.176 0.476
0.593 0.917 0.117
0.617 0.417 0.093
0.617 0.700 0.524
0.676 0.083 0.700
0.676 0.093 0.976
0.700 0.524 0.617
0.700 0.676 0.083
0.800 0.417 0.824
0.800 0.883 0.976
0.824 0.524 0.407
0.824 0.800 0.417
0.883 0.407 0.083
0.883 0.976 0.800
0.907 0.024 0.324
0.907 0.383 0.583
0.917 0.117 0.593
0.917 0.300 0.324
0.976 0.676 0.093
0.976 0.800 0.883

[11]
SrCd2O3 | the Open Quantum Materials Database | PBE | relaxed; raw total energy = -4.647 eV/atom
1.0
4.813 0.000 0.000
0.000 10.356 0.000
0.000 0.000 3.461
Sr Cd O
2 4 6
direct
0.250 0.250 0.241
0.750 0.750 0.759
0.250 0.580 0.254
0.250 0.920 0.254
0.750 0.080 0.746
0.750 0.420 0.746
0.250 0.073 0.736
0.250 0.427 0.736
0.250 0.750 0.823
0.750 0.250 0.177
0.750 0.573 0.264
0.750 0.927 0.264

[12]
Cs4PaO5 | the Open Quantum Materials Database | PBE | relaxed; raw total energy = -5.583 eV/atom; size of the total moment = 1.00 μB per formula unit
1.0
-4.582 4.582 2.978
4.582 -4.582 2.978
4.582 4.582 -2.978
Cs Pa O
4 1 5
direct
0.099 0.697 0.796
0.303 0.099 0.401
0.697 0.901 0.599
0.901 0.303 0.204
0.469 0.469 0.000
0.109 0.109 0.000
0.289 0.433 0.707
0.433 0.726 0.144
0.582 0.289 0.856
0.726 0.582 0.293

[13]
RbZn2Ge2 | the Open Quantum Materials Database | PBE | relaxed; raw total energy = -2.588 eV/atom
1.0
4.510 0.000 0.000
0.000 4.510 0.000
0.000 0.000 10.973
Rb Zn Ge
2 4 4
direct
0.000 0.000 0.000
0.500 0.500 0.500
0.000 0.500 0.250
0.000 0.500 0.750
0.500 0.000 0.250
0.500 0.000 0.750
0.000 0.000 0.379
0.000 0.000 0.621
0.500 0.500 0.121
0.500 0.500 0.879

[14]
HfAlTc2 | the Open Quantum Materials Database | PBE | relaxed; raw total energy = -8.727 eV/atom; size of the total moment = 0.00 μB per formula unit
1.0
6.362 0.000 0.000
0.000 6.362 0.000
0.000 0.000 6.362
Hf Al Tc
4 4 8
direct
0.000 0.000 0.000
0.000 0.500 0.500
0.500 0.000 0.500
0.500 0.500 0.000
0.250 0.250 0.750
0.250 0.750 0.250
0.750 0.250 0.250
0.750 0.750 0.750
0.000 0.000 0.500
0.000 0.500 0.000
0.250 0.250 0.250
0.250 0.750 0.750
0.500 0.000 0.000
0.500 0.500 0.500
0.750 0.250 0.750
0.750 0.750 0.250

[15]
MgScAgSeS2 | the Open Quantum Materials Database | PBE | relaxed; raw total energy = -4.776 eV/atom; size of the total moment = 0.01 μB per formula unit
1.0
1.840 -6.333 0.000
1.840 6.333 0.000
0.000 0.000 10.519
Mg Sc Ag Se S
2 2 2 2 4
direct
0.216 0.784 0.750
0.784 0.216 0.250
0.000 0.000 0.000
0.000 0.000 0.500
0.481 0.519 0.250
0.519 0.481 0.750
0.129 0.871 0.250
0.871 0.129 0.750
0.365 0.635 0.063
0.365 0.635 0.437
0.635 0.365 0.563
0.635 0.365 0.937

[16]
TmAl7Au3 | the Open Quantum Materials Database | PBE | relaxed; raw total energy = -4.180 eV/atom; size of the total moment = 0.00 μB per formula unit
1.0
4.038 2.331 7.021
-4.038 2.331 7.021
0.000 -4.663 7.021
Tm Al Au
2 14 6
direct
0.000 0.000 0.000
0.500 0.500 0.500
0.069 0.853 0.667
0.147 0.333 0.931
0.167 0.353 0.569
0.250 0.250 0.250
0.333 0.931 0.147
0.353 0.569 0.167
0.431 0.833 0.647
0.569 0.167 0.353
0.647 0.431 0.833
0.667 0.069 0.853
0.750 0.750 0.750
0.833 0.647 0.431
0.853 0.667 0.069
0.931 0.147 0.333
0.075 0.750 0.425
0.250 0.575 0.925
0.425 0.075 0.750
0.575 0.925 0.250
0.750 0.425 0.075
0.925 0.250 0.575

[17]
LiBeInCo | the Open Quantum Materials Database | PBE | relaxed; raw total energy = -3.756 eV/atom; size of the total moment = 0.01 μB per formula unit
1.0
5.836 0.000 0.000
0.000 5.836 0.000
0.000 0.000 5.836
Li Be In Co
4 4 4 4
direct
0.000 0.000 0.000
0.000 0.500 0.500
0.500 0.000 0.500
0.500 0.500 0.000
0.000 0.000 0.500
0.000 0.500 0.000
0.500 0.000 0.000
0.500 0.500 0.500
0.250 0.250 0.250
0.250 0.750 0.750
0.750 0.250 0.750
0.750 0.750 0.250
0.250 0.250 0.750
0.250 0.750 0.250
0.750 0.250 0.250
0.750 0.750 0.750

[18]
Cs3TbF6 | the Open Quantum Materials Database | PBE | relaxed; raw total energy = -5.104 eV/atom; size of the total moment = 0.00 μB per formula unit
1.0
-3.424 3.424 4.851
3.424 -3.424 4.851
3.424 3.424 -4.851
Cs Tb F
3 1 6
direct
0.000 0.000 0.000
0.250 0.750 0.500
0.750 0.250 0.500
0.500 0.500 0.000
0.277 0.277 0.000
0.277 0.277 0.554
0.277 0.723 0.000
0.723 0.277 0.000
0.723 0.723 0.000
0.723 0.723 0.446

[19]
AgBiOs2 | the Open Quantum Materials Database | PBE | relaxed; raw total energy = -6.375 eV/atom; size of the total moment = 0.03 μB per formula unit
1.0
4.607 0.000 0.000
0.000 7.092 0.000
0.000 0.000 5.264
Ag Bi Os
2 2 4
direct
0.000 0.000 0.000
0.000 0.000 0.500
0.500 0.157 0.250
0.500 0.843 0.750
0.000 0.458 0.250
0.000 0.542 0.750
0.498 0.500 0.000
0.502 0.500 0.500

[20]
TaZnNiHg | the Open Quantum Materials Database | PBE | relaxed; raw total energy = -4.395 eV/atom; ΔE_f = 0.35 eV/atom; size of the total moment = 0.04 μB per formula unit
1.0
6.337 0.000 0.000
0.000 6.337 0.000
0.000 0.000 6.337
Ta Zn Ni Hg
4 4 4 4
direct
0.000 0.000 0.000
0.000 0.500 0.500
0.500 0.000 0.500
0.500 0.500 0.000
0.250 0.250 0.250
0.250 0.750 0.750
0.750 0.250 0.750
0.750 0.750 0.250
0.000 0.000 0.500
0.000 0.500 0.000
0.500 0.000 0.000
0.500 0.500 0.500
0.250 0.250 0.750
0.250 0.750 0.250
0.750 0.250 0.250
0.750 0.750 0.750